Cs2Ge3 | PBE | optimized geometry

DFT total energy, eV/atom: -3.0351
Crystal system: monoclinic
E_form, eV per formula unit: 0.4
DOS(E_F), states/eV/f.u.: 1.5

Lattice parameters (Å, degrees): 5.766 9.343 11.670 66.40 75.76 52.09
Fractional coordinates of all 10 atoms:
1 Cs 0.000 0.916 0.168
2 Cs 0.000 0.084 0.832
3 Cs 0.500 0.500 0.500
4 Cs 0.500 0.000 0.500
5 Ge 0.733 0.503 0.000
6 Ge 0.267 0.497 0.000
7 Ge 0.159 0.419 0.826
8 Ge 0.841 0.755 0.826
9 Ge 0.159 0.245 0.174
10 Ge 0.841 0.581 0.174